## NaSm3GeS7 (PBE-GGA)

Data for a geometry-optimized NaSm3GeS7 structure.

Calculated values
Uncorrected energy (eV/atom): -5.608
Density (g/cm3): 4.92
Calculated volume (A^3/atom): 21.68
Spin magnetization (μB per atom): 0.0006

a = 10.1268 Å, b = 10.1268 Å, c = 5.8582 Å
α = 90.00°, β = 90.00°, γ = 120.00°
Space group P6_3 (No. 173)
One atom of each set of equivalent atoms:
Na 0.0000 0.0000 0.0000 (multiplicity 2)
Sm 0.1312 0.3612 0.2781 (multiplicity 6)
Ge 0.3333 0.6667 0.8609 (multiplicity 2)
S 0.0972 0.2611 0.7475 (multiplicity 6)
S 0.1026 0.5839 0.0204 (multiplicity 6)
S 0.3333 0.6667 0.4844 (multiplicity 2)